(1)
# Ag3Pd4Pt2

Crystalline Ag3Pd4Pt2 at its relaxed geometry (GGA-PBE, Alexandria via LeMat-Bulk).

Cell: 12.6349 9.5443 5.0299 Å, 90.00 96.87 90.00°
Closest atoms and distances in Å follow each position.
Space group C2/c (No. 15)
Inequivalent atoms, fractional coordinates:
Ag: 0.0000 0.0123 0.2500  2 Ag 2.53
Ag: 0.1010 0.4321 0.4595  3 Pd 2.67-2.85, 2 Pt 2.69-2.89, 3 Ag 2.83-2.93
Pd: 0.0619 0.2591 0.9954  2 Pt 2.64-2.84, 4 Ag 2.67-2.93, 2 Pd 2.76-2.86
Pd: 0.1687 0.1564 0.5636  4 Pt 2.70-2.94, 3 Ag 2.80-2.91, 2 Pd 2.85-2.86
Pt: 0.2409 0.1158 0.0861  6 Pd 2.64-2.94, 2 Ag 2.69-2.89, 1 Pt 2.72

Fermi-level density of states: 1.15 states/eV/atom
ΔH_f (0 K): 117 meV per atom

***

(2)
# PmNd4Sm

Crystalline PmNd4Sm at its relaxed geometry (GGA-PBE, Alexandria via LeMat-Bulk).

Cell: 7.1402 12.1685 9.7694 Å, 90.00 90.00 90.00°
Closest atoms and distances in Å follow each position.
Space group Cmcm (No. 63)
Inequivalent atoms, fractional coordinates:
Pm: 0.0000 0.1836 0.2500  2 Nd 3.23, 2 Sm 3.31
Nd: 0.0000 0.3265 0.5752  3 Nd 3.42-3.71, 1 Pm 3.62
Nd: 0.2207 0.4151 0.2500  1 Nd 3.15, 1 Pm 3.23, 2 Sm 3.32
Sm: 0.0000 0.0000 0.0000  2 Pm 3.31, 4 Nd 3.32

Fermi-level density of states: 1.49 states/eV/atom
ΔH_f (0 K): 219 meV per atom
energy relative to the lowest polymorph listed for this composition: 0.000 eV/atom

***

(3)
# CrNi

Crystalline CrNi at its relaxed geometry (GGA-PBE, Alexandria via LeMat-Bulk).

Cell: 3.6845 3.6845 4.4589 Å, 90.00 90.00 120.00°
Closest atoms and distances in Å follow each position.
Space group P6_3/mmc (No. 194)
Inequivalent atoms, fractional coordinates:
Cr: 0.0000 0.0000 0.0000  2 Cr 2.23, 6 Ni 2.40
Ni: 0.3333 0.6667 0.2500  6 Cr 2.40

Fermi-level density of states: 1.70 states/eV/atom
ΔH_f (0 K): 772 meV per atom

***

(4)
# TaNOF2

Crystalline TaNOF2 at its relaxed geometry (GGA-PBE, Alexandria via LeMat-Bulk).

Cell: 4.1197 4.1197 3.8765 Å, 90.00 90.00 90.00°
Closest atoms and distances in Å follow each position.
Space group P4/mmm (No. 123)
Inequivalent atoms, fractional coordinates:
Ta: 0.0000 0.0000 0.0000  2 O 1.94, 4 F 2.06
N: 0.5000 0.5000 0.5000  8 F 2.83, 4 O 2.91
O: 0.0000 0.0000 0.5000  2 Ta 1.94
F: 0.0000 0.5000 0.0000  2 Ta 2.06

Fermi-level density of states: 0.61 states/eV/atom
energy relative to the elements, uncorrected: -5.7 eV per formula unit
energy relative to the lowest polymorph listed for this composition: 0.000 eV/atom

***

(5)
# NaCaTe2I

Crystalline NaCaTe2I at its relaxed geometry (GGA-PBE, Alexandria via LeMat-Bulk).

Cell: 5.9418 5.9418 6.2126 Å, 90.00 90.00 90.00°
Closest atoms and distances in Å follow each position.
Space group P4/mmm (No. 123)
Inequivalent atoms, fractional coordinates:
Na: 0.0000 0.0000 0.0000  4 I 4.20, 8 Te 4.30
Ca: 0.5000 0.5000 0.5000  4 Te 2.97, 2 I 3.11
Te: 0.0000 0.5000 0.5000  2 Ca 2.97
I: 0.5000 0.5000 0.0000  2 Ca 3.11

Fermi-level density of states: 1.33 states/eV/atom
energy relative to the elements, uncorrected: -3.0 eV per formula unit
energy relative to the lowest polymorph listed for this composition: 0.000 eV/atom

***

(6)
# Ru2Pt3

Crystalline Ru2Pt3 at its relaxed geometry (GGA-PBE, Alexandria via LeMat-Bulk).

Cell: 4.2817 4.2817 5.3113 Å, 90.00 90.00 120.00°
Closest atoms and distances in Å follow each position.
Space group P-3m1 (No. 164)
Inequivalent atoms, fractional coordinates:
Ru: 0.3333 0.6667 0.3704  8 Pt 2.57-2.80, 3 Ru 2.83
Pt: 0.0000 0.0000 0.5000  6 Ru 2.57
Pt: 0.3333 0.6667 0.8772  5 Ru 2.62-2.80, 3 Pt 2.79

Fermi-level density of states: 1.25 states/eV/atom
ΔH_f (0 K): 426 meV per atom
energy relative to the lowest polymorph listed for this composition: 0.438 eV/atom

***

(7)
# MgP4Pd2

Crystalline MgP4Pd2 at its relaxed geometry (GGA-PBE, Alexandria via LeMat-Bulk).

Cell: 4.6864 4.6864 12.5181 Å, 90.00 90.00 90.00°
Closest atoms and distances in Å follow each position.
Space group I4/mmm (No. 139)
Inequivalent atoms, fractional coordinates:
Mg: 0.0000 0.0000 0.0000  4 P 2.34
P: 0.0000 0.0000 0.2159  1 Pd 2.22
P: 0.0000 0.5000 0.0000  2 Mg 2.34
Pd: 0.0000 0.0000 0.3929  1 P 2.22

Fermi-level density of states: 0.44 states/eV/atom
ΔH_f (0 K): 489 meV per atom

***

(8)
# SrEuMgIn

Crystalline SrEuMgIn at its relaxed geometry (GGA-PBE, Alexandria via LeMat-Bulk).

Cell: 8.0761 8.0761 8.0761 Å, 90.00 90.00 90.00°
Closest atoms and distances in Å follow each position.
Space group F-43m (No. 216)
Inequivalent atoms, fractional coordinates:
Sr: 0.0000 0.0000 0.0000  4 Mg 3.50, 4 In 3.50
Eu: 0.0000 0.0000 0.5000  4 In 3.50, 4 Mg 3.50
Mg: 0.2500 0.2500 0.7500  4 Sr 3.50, 4 Eu 3.50
In: 0.2500 0.2500 0.2500  4 Sr 3.50, 4 Eu 3.50

Fermi-level density of states: 3.24 states/eV/atom
ΔH_f (0 K): -274 meV per atom

***

(9)
# ThAl2Fe2

Crystalline ThAl2Fe2 at its relaxed geometry (GGA-PBE, Alexandria via LeMat-Bulk).

Cell: 6.0920 6.1233 5.3339 Å, 90.00 120.84 90.00°
Closest atoms and distances in Å follow each position.
Space group C2/m (No. 12)
Inequivalent atoms, fractional coordinates:
Th: 0.0000 0.0000 0.0000  8 Fe 3.04-3.26, 10 Al 3.25-3.38
Al: 0.1403 0.5000 0.2871  4 Fe 2.36-2.38, 1 Al 2.63
Fe: 0.0000 0.2393 0.5000  4 Al 2.36-2.38

Fermi-level density of states: 0.96 states/eV/atom
ΔH_f (0 K): -190 meV per atom

***

(10)
# Cs2ZnTeSe

Crystalline Cs2ZnTeSe at its relaxed geometry (GGA-PBE, Alexandria via LeMat-Bulk).

Cell: 8.6525 4.5583 11.9358 Å, 90.00 109.56 90.00°
Closest atoms and distances in Å follow each position.
Space group P2_1/m (No. 11)
Inequivalent atoms, fractional coordinates:
Cs: 0.1843 0.2500 0.3991  2 Se 3.51
Cs: 0.2209 0.2500 0.9584  3 Se 3.53-3.54
Zn: 0.4957 0.7500 0.2573  1 Se 2.34
Te: 0.3257 0.7500 0.7009  2 Zn 2.70
Se: 0.2091 0.7500 0.1825  1 Zn 2.34

energy relative to the elements, uncorrected: -4.6 eV per formula unit

***

(11)
# BaInCuS3

Crystalline BaInCuS3 at its relaxed geometry (GGA-PBE, Alexandria via LeMat-Bulk).

Cell: 13.2165 7.4198 7.4232 Å, 90.00 112.64 90.00°
Closest atoms and distances in Å follow each position.
Space group C2/m (No. 12)
Inequivalent atoms, fractional coordinates:
Ba: 0.2170 0.0000 0.1981  5 S 3.17-3.32
In: 0.0412 0.5000 0.2506  3 S 2.35-2.45
Cu: 0.0000 0.2047 0.5000  2 S 2.15
S: 0.0807 0.2390 0.8111  1 Cu 2.15
S: 0.2327 0.5000 0.3489  1 In 2.35

energy relative to the elements, uncorrected: -5.0 eV per formula unit

***

(12)
# ReAs2Cl

Crystalline ReAs2Cl at its relaxed geometry (GGA-PBE, Alexandria via LeMat-Bulk).

Cell: 3.0774 4.6381 4.6616 Å, 90.00 90.00 90.00°
Closest atoms and distances in Å follow each position.
Space group Pmmm (No. 47)
Inequivalent atoms, fractional coordinates:
Re: 0.0000 0.0000 0.0000  4 Cl 2.78, 4 As 2.79, 2 Re 3.08
As: 0.0000 0.5000 0.5000  6 As 2.78-3.08, 4 Cl 2.79
As: 0.5000 0.0000 0.5000  6 As 2.78-3.08, 4 Re 2.79
Cl: 0.5000 0.5000 0.0000  4 Re 2.78, 4 As 2.79, 2 Cl 3.08

Fermi-level density of states: 0.86 states/eV/atom
energy relative to the elements, uncorrected: 3.6 eV per formula unit
energy relative to the lowest polymorph listed for this composition: 0.853 eV/atom

***

no.,theoretical density (Mg/m³),total energy (eV/cell)
1,12.6,-161.41
2,6.8,-108.92
3,7.0,-27.72
4,6.3,-34.61
5,3.4,-14.12
6,15.5,-34.54
7,4.4,-60.39
8,4.8,-69.54
9,7.7,-65.56
10,4.0,-28.41
11,4.1,-104.66
12,9.3,-19.96